Na4Ti5O12 | PBEsol | relaxed

space-group type	P-1, No. 2
energy relative to the lowest polymorph listed for this composition	16	meV/atom
formation energy from raw total energies	-57.254	eV/f.u.

a = 5.8874 Å, b = 6.3648 Å, c = 13.2488 Å
α = 95.77°, β = 96.37°, γ = 90.02°
Closest atoms and distances in Å follow each position.
Sites, in units of the cell vectors:
Ti 0.3528 0.1007 0.4155  6 O 1.90-2.05
Ti 0.9513 0.1600 0.8111  1 O 1.72
Ti 0.1459 0.9010 0.5884  6 O 1.91-2.05
Ti 0.6472 0.8993 0.5845  6 O 1.90-2.05
Ti 0.8541 0.0990 0.4116  6 O 1.91-2.05
Ti 0.4543 0.1603 0.8110  1 O 1.72
Ti 0.5457 0.8397 0.1890  1 O 1.72
Ti 0.7481 0.9807 0.9928  6 O 1.88-2.07
Ti 0.0487 0.8400 0.1889  1 O 1.72
Ti 0.2519 0.0193 0.0072  6 O 1.88-2.07
O 0.3175 0.9959 0.2692  3 Ti 1.97-2.01
O 0.1034 0.2899 0.4088  2 Ti 1.90-1.91
O 0.4796 0.8772 0.9142  2 Ti 1.88-2.07
O 0.5581 0.6006 0.2399  1 Ti 1.72
O 0.8966 0.7101 0.5912  2 Ti 1.90-1.91
O 0.7276 0.2253 0.9105  3 Ti 1.98
O 0.3911 0.1147 0.5646  3 Ti 1.96-2.05
O 0.4419 0.3994 0.7601  1 Ti 1.72
O 0.0616 0.6009 0.2399  1 Ti 1.72
O 0.3982 0.7101 0.5893  2 Ti 1.91-1.92
O 0.9775 0.8773 0.9141  2 Ti 1.88-2.07
O 0.8174 0.9904 0.2698  3 Ti 1.92-2.01
O 0.7727 0.7699 0.0912  3 Ti 1.96-1.98
O 0.1826 0.0096 0.7302  3 Ti 1.92-2.01
O 0.2724 0.7747 0.0895  3 Ti 1.98
O 0.1088 0.8869 0.4362  3 Ti 2.00-2.04
O 0.0225 0.1227 0.0859  2 Ti 1.88-2.07
O 0.6089 0.8853 0.4354  3 Ti 1.96-2.05
O 0.9384 0.3991 0.7601  1 Ti 1.72
O 0.6825 0.0041 0.7308  3 Ti 1.97-2.01
O 0.5204 0.1228 0.0858  2 Ti 1.88-2.07
O 0.2273 0.2301 0.9088  3 Ti 1.96-1.98
O 0.8912 0.1131 0.5638  3 Ti 2.00-2.04
O 0.6018 0.2899 0.4107  2 Ti 1.91-1.92
Na 0.2200 0.5898 0.8800  5 O 2.36-2.40
Na 0.3456 0.6025 0.3871  6 O 2.37-2.52
Na 0.8438 0.5892 0.3751  6 O 2.32-2.49
Na 0.2991 0.3305 0.1978  5 O 2.28-2.41
Na 0.6544 0.3975 0.6129  6 O 2.37-2.52
Na 0.1562 0.4108 0.6249  6 O 2.32-2.49
Na 0.7009 0.6695 0.8022  5 O 2.28-2.41
Na 0.7800 0.4102 0.1200  5 O 2.36-2.40